[1]
## Y2AlRuF (PBE)

Data for Y2AlRuF after structural relaxation.

Cell: 4.833 4.833 4.017 Å, 90.00 90.00 90.00°
Space group P4/mmm (No. 123)
Asymmetric unit:
Y 0.000 0.500 0.000
Al 0.000 0.000 0.500
Ru 0.500 0.500 0.500
F 0.000 0.000 0.000

Calculated values
V ... 93.8 Å³/f.u.
Formation energy (no corrections) ... -0.832 eV/atom

---

[2]
## AlZnRuF2 (PBE)

Data for AlZnRuF2 after structural relaxation.

Cell: 4.047 4.047 5.179 Å, 90.00 90.00 90.00°
Space group P4/mmm (No. 123)
Asymmetric unit:
Al 0.000 0.000 0.000
Zn 0.500 0.500 0.000
Ru 0.500 0.500 0.500
F 0.000 0.500 0.500

Calculated values
V ... 84.8 Å³/f.u.
Formation energy (no corrections) ... -0.417 eV/atom

---

[3]
## AlSF2 (PBE)

Data for AlSF2 after structural relaxation.

Cell: 3.0641 3.0641 24.3170 Å, 90.00 90.00 120.00°
Space group R-3m (No. 166, hexagonal axes)
Asymmetric unit:
Al 0.0000 0.0000 0.0000
S 0.0000 0.0000 0.5000
F 0.0000 0.0000 0.3715

Calculated values
ΔE to the lowest computed polymorph ... 1.86 eV per formula unit
V ... 65.9 Å³/f.u.
Formation energy (no corrections) ... -1.302 eV/atom

---

[4]
## AlSF3 (PBE)

Data for AlSF3 after structural relaxation.

Cell: 3.888 3.888 3.888 Å, 90.00 90.00 90.00°
Space group Pm-3m (No. 221)
Asymmetric unit:
Al 0.000 0.000 0.000
S 0.500 0.500 0.500
F 0.000 0.000 0.500

Calculated values
ΔE to the lowest computed polymorph ... 0.00 eV per formula unit
V ... 58.8 Å³/f.u.
Formation energy (no corrections) ... -1.821 eV/atom

---

[5]
## AlS3F (PBE)

Data for AlS3F after structural relaxation.

Cell: 4.383 4.383 4.383 Å, 90.00 90.00 90.00°
Space group Pm-3m (No. 221)
Asymmetric unit:
Al 0.000 0.000 0.000
S 0.000 0.500 0.500
F 0.500 0.500 0.500

Calculated values
ΔE to the lowest computed polymorph ... 2.65 eV per formula unit
V ... 84.2 Å³/f.u.
Formation energy (no corrections) ... 0.687 eV/atom

---

[6]
## AlSF (PBE)

Data for AlSF after structural relaxation.

Cell: 3.164 13.067 4.818 Å, 90.00 90.00 90.00°
Space group Cmcm (No. 63)
Asymmetric unit:
Al 0.000 0.178 0.250
S 0.000 0.187 0.750
F 0.000 0.406 0.750

Calculated values
ΔE to the lowest computed polymorph ... 0.15 eV per formula unit
V ... 49.8 Å³/f.u.
Formation energy (no corrections) ... -1.961 eV/atom

---

[7]
## AlSF2 (PBE)

Data for AlSF2 after structural relaxation.

Cell: 2.8743 2.8743 30.1596 Å, 90.00 90.00 120.00°
Space group R-3m (No. 166, hexagonal axes)
Asymmetric unit:
Al 0.0000 0.0000 0.0000
S 0.0000 0.0000 0.5000
F 0.0000 0.0000 0.0551

Calculated values
ΔE to the lowest computed polymorph ... 2.42 eV per formula unit
V ... 71.9 Å³/f.u.
Formation energy (no corrections) ... -1.161 eV/atom

---

[8]
## AlSF (PBE)

Data for AlSF after structural relaxation.

Cell: 5.604 3.634 6.675 Å, 90.00 101.46 90.00°
Space group P2_1/m (No. 11)
Asymmetric unit:
Al 0.012 0.250 0.322
S 0.230 0.250 0.659
F 0.188 0.250 0.148

Calculated values
ΔE to the lowest computed polymorph ... 0.00 eV per formula unit
V ... 66.6 Å³/f.u.
Formation energy (no corrections) ... -2.012 eV/atom

---

[9]
## Al2SF (PBE)

Data for Al2SF after structural relaxation.

Cell: 6.301 6.301 6.301 Å, 90.00 90.00 90.00°
Space group Fm-3m (No. 225)
Asymmetric unit:
Al 0.250 0.250 0.250
S 0.000 0.000 0.000
F 0.000 0.000 0.500

Calculated values
ΔE to the lowest computed polymorph ... 1.14 eV per formula unit
V ... 62.5 Å³/f.u.
Formation energy (no corrections) ... -0.610 eV/atom

---

[10]
## AlSF2 (PBE)

Data for AlSF2 after structural relaxation.

Cell: 5.876 5.876 5.876 Å, 90.00 90.00 90.00°
Space group Fm-3m (No. 225)
Asymmetric unit:
Al 0.000 0.000 0.000
S 0.000 0.000 0.500
F 0.250 0.250 0.250

Calculated values
ΔE to the lowest computed polymorph ... 4.89 eV per formula unit
V ... 50.7 Å³/f.u.
Formation energy (no corrections) ... -0.545 eV/atom

---

[11]
## AlSF2 (PBE)

Data for AlSF2 after structural relaxation.

Cell: 7.971 7.971 7.971 Å, 90.00 90.00 90.00°
Space group Fd-3m (No. 227, origin choice 2)
Asymmetric unit:
Al 0.125 0.125 0.125
S 0.125 0.125 0.625
F 0.000 0.000 0.000

Calculated values
ΔE to the lowest computed polymorph ... 0.00 eV per formula unit
V ... 63.3 Å³/f.u.
Formation energy (no corrections) ... -1.766 eV/atom

---

[12]
## AlSF3 (PBE)

Data for AlSF3 after structural relaxation.

Cell: 4.323 4.323 4.323 Å, 90.00 90.00 90.00°
Space group Pm-3m (No. 221)
Asymmetric unit:
Al 0.000 0.000 0.000
S 0.500 0.500 0.500
F 0.000 0.500 0.500

Calculated values
ΔE to the lowest computed polymorph ... 5.93 eV per formula unit
V ... 80.8 Å³/f.u.
Formation energy (no corrections) ... -0.634 eV/atom

---

[13]
## AlS5F (PBE)

Data for AlS5F after structural relaxation.

Cell: 4.951 5.313 7.399 Å, 99.71 95.87 100.73°
Space group P1 (No. 1)
Asymmetric unit:
Al 0.000 0.000 0.000
S 0.180 0.638 0.556
S 0.208 0.090 0.296
S 0.363 0.921 0.820
S 0.596 0.698 0.943
S 0.948 0.828 0.419
F 0.964 0.281 0.932

Calculated values
V ... 186.7 Å³/f.u.
Formation energy (no corrections) ... -0.721 eV/atom

---

[14]
## AlSF (PBE)

Data for AlSF after structural relaxation.

Cell: 3.9885 3.9885 3.7443 Å, 90.00 90.00 120.00°
Space group P-6m2 (No. 187)
Asymmetric unit:
Al 0.0000 0.0000 0.0000
S 0.6667 0.3333 0.0000
F 0.0000 0.0000 0.5000

Calculated values
ΔE to the lowest computed polymorph ... 0.18 eV per formula unit
V ... 51.6 Å³/f.u.
Formation energy (no corrections) ... -1.951 eV/atom

---

[15]
## AlS3F (PBE)

Data for AlS3F after structural relaxation.

Cell: 4.509 4.509 4.509 Å, 90.00 90.00 90.00°
Space group Pm-3m (No. 221)
Asymmetric unit:
Al 0.000 0.000 0.000
S 0.000 0.000 0.500
F 0.500 0.500 0.500

Calculated values
ΔE to the lowest computed polymorph ... 0.00 eV per formula unit
V ... 91.7 Å³/f.u.
Formation energy (no corrections) ... 0.156 eV/atom

---

[16]
## Al2SF (PBE)

Data for Al2SF after structural relaxation.

Cell: 4.438 4.438 14.006 Å, 90.00 90.00 90.00°
Space group I-42d (No. 122)
Asymmetric unit:
Al 0.171 0.250 0.125
S 0.000 0.000 0.500
F 0.000 0.000 0.000

Calculated values
ΔE to the lowest computed polymorph ... 0.00 eV per formula unit
V ... 69.0 Å³/f.u.
Formation energy (no corrections) ... -0.895 eV/atom

---

[17]
## Ta2AlSF (PBE)

Data for Ta2AlSF after structural relaxation.

Cell: 4.629 4.629 4.188 Å, 90.00 90.00 90.00°
Space group P4/mmm (No. 123)
Asymmetric unit:
Ta 0.000 0.500 0.000
Al 0.000 0.000 0.500
S 0.500 0.500 0.000
F 0.500 0.500 0.500

Calculated values
V ... 89.7 Å³/f.u.
Formation energy (no corrections) ... 0.186 eV/atom

---

[18]
## AlTeS3F (PBE)

Data for AlTeS3F after structural relaxation.

Cell: 3.518 15.261 10.558 Å, 90.00 90.00 90.00°
Space group Cmcm (No. 63)
Asymmetric unit:
Al 0.000 0.000 0.000
Te 0.000 0.373 0.250
S 0.000 0.004 0.750
S 0.000 0.393 0.501
F 0.000 0.220 0.750

Calculated values
V ... 141.7 Å³/f.u.
Formation energy (no corrections) ... -0.759 eV/atom

---

[19]
## AlSbF (PBE)

Data for AlSbF after structural relaxation.

Cell: 4.420 6.249 6.793 Å, 62.71 71.16 69.41°
Space group P1 (No. 1)
Asymmetric unit:
Al 0.000 0.000 0.000
Al 0.097 0.418 0.390
Sb 0.367 0.071 0.197
Sb 0.444 0.573 0.542
F 0.092 0.108 0.707
F 0.124 0.674 0.078

Calculated values
ΔE to the lowest computed polymorph ... 0.00 eV per formula unit
V ... 76.6 Å³/f.u.
Formation energy (no corrections) ... -1.411 eV/atom

---

[20]
## AlSbF2 (PBE)

Data for AlSbF2 after structural relaxation.

Cell: 6.387 6.387 6.387 Å, 90.00 90.00 90.00°
Space group Fm-3m (No. 225)
Asymmetric unit:
Al 0.000 0.000 0.000
Sb 0.000 0.000 0.500
F 0.250 0.250 0.250

Calculated values
ΔE to the lowest computed polymorph ... 3.55 eV per formula unit
V ... 65.1 Å³/f.u.
Formation energy (no corrections) ... -0.778 eV/atom